Li2TlMoN after structural relaxation, computed with PBE.

a b c (Å): 4.212 4.212 4.003
angles (deg): 90.00 90.00 90.00
Space group P4/mmm (No. 123)
Asymmetric unit:
Li1 0.000 0.500 0.000
Tl1 0.000 0.000 0.500
Mo1 0.500 0.500 0.500
N1 0.500 0.500 0.000

Magnetization (μB per cell): 0.7
Final energy (eV per atom): -5.22
Theoretical density (g cm⁻³): 7.674
V (Å³/f.u.): 71.0
Formation energy (no corrections) (eV/atom): -0.149